Below is a relaxed structure of PrTmMg2, with properties calculated at the GGA-PBE level.

Cell and atoms, written as extended XYZ:
```
4
Lattice="5.416 0.000 0.000 2.708 4.690 0.000 2.708 1.563 4.422" Properties=species:S:1:pos:R:3 pbc="T T T"
Pr 5.416 3.127 2.211
Mg 2.708 1.563 1.106
Mg 8.124 4.690 3.317
Tm 0.000 0.000 0.000
```

Calculated values
- Distance to the lowest polymorph of the same formula: 0 meV/atom
- Spin magnetization: 0.0000 μB per atom
- Crystal system: cubic
- Space-group type: Fm-3m
- Electronic total energy: -3.20 eV per atom